1.
LaPuGa2: optimized geometry, PBE.

Values from the calculation:
distance to the lowest polymorph of the same formula = 0.87 eV per formula unit
ΔE_f = -0.165 eV per atom

Cell and atoms, written as CIF:
```
data_LaPuGa2
_cell_length_a 3.6066
_cell_length_b 3.6066
_cell_length_c 28.2733
_cell_angle_alpha 90.00
_cell_angle_beta 90.00
_cell_angle_gamma 120.00
_symmetry_space_group_name_H-M 'R -3 m'
_symmetry_Int_Tables_number 166
_symmetry_space_group_name_Hall '-R 3 2"'
loop_
_atom_site_label
_atom_site_type_symbol
_atom_site_fract_x
_atom_site_fract_y
_atom_site_fract_z
_atom_site_occupancy
La1 La 0.0000 0.0000 0.0000 1
Pu1 Pu 0.0000 0.0000 0.5000 1
Ga1 Ga 0.0000 0.0000 0.2473 1
```

---

2.
K2FeSe4: optimized geometry, PBE.

Values from the calculation:
raw formation energy = -540 meV/atom

Cell and atoms, written as CIF:
```
data_K2FeSe4
_cell_length_a 10.554
_cell_length_b 12.924
_cell_length_c 6.388
_cell_angle_alpha 90.00
_cell_angle_beta 90.00
_cell_angle_gamma 90.00
_symmetry_space_group_name_H-M 'I b a m'
_symmetry_Int_Tables_number 72
_symmetry_space_group_name_Hall '-I 2 2c'
loop_
_atom_site_label
_atom_site_type_symbol
_atom_site_fract_x
_atom_site_fract_y
_atom_site_fract_z
_atom_site_occupancy
K1 K 0.190 0.131 0.000 1
Fe1 Fe 0.000 0.500 0.250 1
Se1 Se 0.111 0.400 0.000 1
Se2 Se 0.162 0.128 0.500 1
```

---

3.
Si2PdPtPb: optimized geometry, PBE.

Values from the calculation:
raw formation energy = 196 meV/atom

Cell and atoms, written as CIF:
```
data_Si2PdPtPb
_cell_length_a 4.558
_cell_length_b 4.558
_cell_length_c 5.342
_cell_angle_alpha 90.00
_cell_angle_beta 90.00
_cell_angle_gamma 90.00
_symmetry_space_group_name_H-M 'P 4/m m m'
_symmetry_Int_Tables_number 123
_symmetry_space_group_name_Hall '-P 4 2'
loop_
_atom_site_label
_atom_site_type_symbol
_atom_site_fract_x
_atom_site_fract_y
_atom_site_fract_z
_atom_site_occupancy
Si1 Si 0.000 0.500 0.000 1
Pd1 Pd 0.000 0.000 0.500 1
Pt1 Pt 0.000 0.000 0.000 1
Pb1 Pb 0.500 0.500 0.500 1
```

---

4.
Tb2Nd4Bi3N2: optimized geometry, PBE.

Values from the calculation:
raw formation energy = -995 meV/atom

Cell and atoms, written as CIF:
```
data_Tb2Nd4Bi3N2
_cell_length_a 4.838
_cell_length_b 4.838
_cell_length_c 26.308
_cell_angle_alpha 90.00
_cell_angle_beta 90.00
_cell_angle_gamma 90.00
_symmetry_space_group_name_H-M 'I 4/m m m'
_symmetry_Int_Tables_number 139
_symmetry_space_group_name_Hall '-I 4 2'
loop_
_atom_site_label
_atom_site_type_symbol
_atom_site_fract_x
_atom_site_fract_y
_atom_site_fract_z
_atom_site_occupancy
Tb1 Tb 0.000 0.000 0.191 1
Nd1 Nd 0.000 0.500 0.085 1
Bi1 Bi 0.000 0.000 0.317 1
Bi2 Bi 0.000 0.000 0.500 1
N1 N 0.000 0.000 0.108 1
```

---

5.
CaPm4NdTe8: optimized geometry, PBE.

Values from the calculation:
raw formation energy = -1351 meV/atom

Cell and atoms, written as CIF:
```
data_CaPm4NdTe8
_cell_length_a 9.2801
_cell_length_b 9.2801
_cell_length_c 22.7889
_cell_angle_alpha 90.00
_cell_angle_beta 90.00
_cell_angle_gamma 120.00
_symmetry_space_group_name_H-M 'R 3 m'
_symmetry_Int_Tables_number 160
_symmetry_space_group_name_Hall 'R 3 -2"'
loop_
_atom_site_label
_atom_site_type_symbol
_atom_site_fract_x
_atom_site_fract_y
_atom_site_fract_z
_atom_site_occupancy
Ca1 Ca 0.0000 0.0000 0.0000 1
Pm1 Pm 0.0000 0.0000 0.2508 1
Pm2 Pm 0.1697 0.3394 0.4581 1
Nd1 Nd 0.0000 0.0000 0.6280 1
Te1 Te 0.0000 0.0000 0.3838 1
Te2 Te 0.0000 0.0000 0.8672 1
Te3 Te 0.0204 0.5102 0.3789 1
Te4 Te 0.1770 0.3540 0.2057 1
```

---

6.
TbThHg4: optimized geometry, PBE.

Values from the calculation:
distance to the lowest polymorph of the same formula = 0.00 eV per formula unit
ΔE_f = -0.326 eV per atom

Cell and atoms, written as CIF:
```
data_TbThHg4
_cell_length_a 3.412
_cell_length_b 5.025
_cell_length_c 8.719
_cell_angle_alpha 90.00
_cell_angle_beta 90.06
_cell_angle_gamma 90.00
_symmetry_space_group_name_H-M 'P 1 2/m 1'
_symmetry_Int_Tables_number 10
loop_
_symmetry_equiv_pos_as_xyz
'x,y,z'
'-x,-y,-z'
'-x,y,-z'
'x,-y,z'
loop_
_atom_site_label
_atom_site_type_symbol
_atom_site_fract_x
_atom_site_fract_y
_atom_site_fract_z
_atom_site_occupancy
Tb1 Tb 0.000 0.000 0.000 1
Th1 Th 0.000 0.500 0.500 1
Hg1 Hg 0.499 0.000 0.671 1
Hg2 Hg 0.499 0.500 0.163 1
```

---

7.
Er8Tl2Ga: optimized geometry, PBE.

Values from the calculation:
ΔE_f = -0.197 eV per atom

Cell and atoms, written as CIF:
```
data_Er8Tl2Ga
_cell_length_a 18.641
_cell_length_b 5.092
_cell_length_c 6.711
_cell_angle_alpha 90.00
_cell_angle_beta 102.93
_cell_angle_gamma 90.00
_symmetry_space_group_name_H-M 'C 1 2/m 1'
_symmetry_Int_Tables_number 12
loop_
_symmetry_equiv_pos_as_xyz
'x,y,z'
'-x,-y,-z'
'-x,y,-z'
'x,-y,z'
'x+1/2,y+1/2,z'
'-x+1/2,-y+1/2,-z'
'-x+1/2,y+1/2,-z'
'x+1/2,-y+1/2,z'
loop_
_atom_site_label
_atom_site_type_symbol
_atom_site_fract_x
_atom_site_fract_y
_atom_site_fract_z
_atom_site_occupancy
Er1 Er 0.018 0.000 0.268 1
Er2 Er 0.089 0.500 0.957 1
Er3 Er 0.153 0.500 0.480 1
Er4 Er 0.205 0.000 0.811 1
Tl1 Tl 0.185 0.000 0.252 1
Ga1 Ga 0.000 0.500 0.500 1
```

---

8.
Ac7NdMg4: optimized geometry, PBE.

Values from the calculation:
ΔE_f = 0.139 eV per atom

Cell and atoms, written as CIF:
```
data_Ac7NdMg4
_cell_length_a 16.337
_cell_length_b 6.305
_cell_length_c 10.553
_cell_angle_alpha 90.00
_cell_angle_beta 121.60
_cell_angle_gamma 90.00
_symmetry_space_group_name_H-M 'C 1 2/m 1'
_symmetry_Int_Tables_number 12
loop_
_symmetry_equiv_pos_as_xyz
'x,y,z'
'-x,-y,-z'
'-x,y,-z'
'x,-y,z'
'x+1/2,y+1/2,z'
'-x+1/2,-y+1/2,-z'
'-x+1/2,y+1/2,-z'
'x+1/2,-y+1/2,z'
loop_
_atom_site_label
_atom_site_type_symbol
_atom_site_fract_x
_atom_site_fract_y
_atom_site_fract_z
_atom_site_occupancy
Ac1 Ac 0.000 0.000 0.000 1
Ac2 Ac 0.082 0.500 0.421 1
Ac3 Ac 0.192 0.500 0.874 1
Ac4 Ac 0.242 0.000 0.708 1
Nd1 Nd 0.000 0.500 0.000 1
Mg1 Mg 0.031 0.000 0.687 1
Mg2 Mg 0.175 0.000 0.346 1
```

---

9.
GdAgBi2: optimized geometry, PBE.

Values from the calculation:
ΔE_f = -0.409 eV per atom

Cell and atoms, written as CIF:
```
data_GdAgBi2
_cell_length_a 4.951
_cell_length_b 4.951
_cell_length_c 4.395
_cell_angle_alpha 90.00
_cell_angle_beta 90.00
_cell_angle_gamma 90.00
_symmetry_space_group_name_H-M 'P 4/m m m'
_symmetry_Int_Tables_number 123
_symmetry_space_group_name_Hall '-P 4 2'
loop_
_atom_site_label
_atom_site_type_symbol
_atom_site_fract_x
_atom_site_fract_y
_atom_site_fract_z
_atom_site_occupancy
Gd1 Gd 0.000 0.000 0.000 1
Ag1 Ag 0.500 0.500 0.000 1
Bi1 Bi 0.000 0.500 0.500 1
```

---

10.
PaAgCl4: optimized geometry, PBE.

Values from the calculation:
raw formation energy = -1125 meV/atom

Cell and atoms, written as CIF:
```
data_PaAgCl4
_cell_length_a 6.163
_cell_length_b 6.163
_cell_length_c 11.107
_cell_angle_alpha 90.00
_cell_angle_beta 90.00
_cell_angle_gamma 90.00
_symmetry_space_group_name_H-M 'I -4'
_symmetry_Int_Tables_number 82
loop_
_symmetry_equiv_pos_as_xyz
'x,y,z'
'y,-x,-z'
'-x,-y,z'
'-y,x,-z'
'x+1/2,y+1/2,z+1/2'
'y+1/2,-x+1/2,-z+1/2'
'-x+1/2,-y+1/2,z+1/2'
'-y+1/2,x+1/2,-z+1/2'
loop_
_atom_site_label
_atom_site_type_symbol
_atom_site_fract_x
_atom_site_fract_y
_atom_site_fract_z
_atom_site_occupancy
Pa1 Pa 0.000 0.000 0.000 1
Ag1 Ag 0.000 0.500 0.750 1
Cl1 Cl 0.238 0.744 0.373 1
```

---

11.
LiHo2ScSe4: optimized geometry, PBE.

Values from the calculation:
raw formation energy = -1691 meV/atom

Cell and atoms, written as CIF:
```
data_LiHo2ScSe4
_cell_length_a 6.834
_cell_length_b 3.972
_cell_length_c 6.921
_cell_angle_alpha 90.00
_cell_angle_beta 109.39
_cell_angle_gamma 90.00
_symmetry_space_group_name_H-M 'P 1 2/m 1'
_symmetry_Int_Tables_number 10
loop_
_symmetry_equiv_pos_as_xyz
'x,y,z'
'-x,-y,-z'
'-x,y,-z'
'x,-y,z'
loop_
_atom_site_label
_atom_site_type_symbol
_atom_site_fract_x
_atom_site_fract_y
_atom_site_fract_z
_atom_site_occupancy
Li1 Li 0.000 0.000 0.000 1
Ho1 Ho 0.500 0.000 0.500 1
Ho2 Ho 0.500 0.500 0.000 1
Sc1 Sc 0.000 0.500 0.500 1
Se1 Se 0.236 0.000 0.748 1
Se2 Se 0.237 0.500 0.245 1
```

---

12.
CuNi2Os: optimized geometry, PBE.

Values from the calculation:
distance to the lowest polymorph of the same formula = 0.82 eV per formula unit
ΔE_f = 0.296 eV per atom

Cell and atoms, written as CIF:
```
data_CuNi2Os
_cell_length_a 2.681
_cell_length_b 4.372
_cell_length_c 8.526
_cell_angle_alpha 90.00
_cell_angle_beta 90.00
_cell_angle_gamma 90.00
_symmetry_space_group_name_H-M 'C m m 2'
_symmetry_Int_Tables_number 35
loop_
_symmetry_equiv_pos_as_xyz
'x,y,z'
'-x,-y,z'
'-x,y,z'
'x,-y,z'
'x+1/2,y+1/2,z'
'-x+1/2,-y+1/2,z'
'-x+1/2,y+1/2,z'
'x+1/2,-y+1/2,z'
loop_
_atom_site_label
_atom_site_type_symbol
_atom_site_fract_x
_atom_site_fract_y
_atom_site_fract_z
_atom_site_occupancy
Cu1 Cu 0.000 0.000 0.000 1
Ni1 Ni 0.000 0.000 0.480 1
Ni2 Ni 0.000 0.500 0.242 1
Os1 Os 0.000 0.500 0.731 1
```

---

13.
DyBe2SiNi4: optimized geometry, PBE.

Values from the calculation:
raw formation energy = -420 meV/atom

Cell and atoms, written as CIF:
```
data_DyBe2SiNi4
_cell_length_a 3.8019
_cell_length_b 3.8019
_cell_length_c 24.1867
_cell_angle_alpha 90.00
_cell_angle_beta 90.00
_cell_angle_gamma 120.00
_symmetry_space_group_name_H-M 'R -3 m'
_symmetry_Int_Tables_number 166
_symmetry_space_group_name_Hall '-R 3 2"'
loop_
_atom_site_label
_atom_site_type_symbol
_atom_site_fract_x
_atom_site_fract_y
_atom_site_fract_z
_atom_site_occupancy
Dy1 Dy 0.0000 0.0000 0.0000 1
Be1 Be 0.0000 0.0000 0.2362 1
Si1 Si 0.0000 0.0000 0.5000 1
Ni1 Ni 0.0000 0.0000 0.1337 1
Ni2 Ni 0.0000 0.0000 0.4079 1
```

---

14.
SrLiGdTl: optimized geometry, PBE.

Values from the calculation:
ΔE_f = -0.170 eV per atom

Cell and atoms, written as CIF:
```
data_SrLiGdTl
_cell_length_a 7.856
_cell_length_b 7.856
_cell_length_c 7.856
_cell_angle_alpha 90.00
_cell_angle_beta 90.00
_cell_angle_gamma 90.00
_symmetry_space_group_name_H-M 'F -4 3 m'
_symmetry_Int_Tables_number 216
_symmetry_space_group_name_Hall 'F -4 2 3'
loop_
_atom_site_label
_atom_site_type_symbol
_atom_site_fract_x
_atom_site_fract_y
_atom_site_fract_z
_atom_site_occupancy
Sr1 Sr 0.000 0.000 0.000 1
Li1 Li 0.250 0.250 0.750 1
Gd1 Gd 0.000 0.000 0.500 1
Tl1 Tl 0.250 0.250 0.250 1
```

---

15.
ZnGaIr2: optimized geometry, PBE.

Values from the calculation:
distance to the lowest polymorph of the same formula = 2.38 eV per formula unit
ΔE_f = 0.260 eV per atom

Cell and atoms, written as CIF:
```
data_ZnGaIr2
_cell_length_a 6.850
_cell_length_b 6.850
_cell_length_c 5.427
_cell_angle_alpha 90.00
_cell_angle_beta 90.00
_cell_angle_gamma 90.00
_symmetry_space_group_name_H-M 'I -4 2 d'
_symmetry_Int_Tables_number 122
_symmetry_space_group_name_Hall 'I -4 2bw'
loop_
_atom_site_label
_atom_site_type_symbol
_atom_site_fract_x
_atom_site_fract_y
_atom_site_fract_z
_atom_site_occupancy
Zn1 Zn 0.000 0.000 0.000 1
Ga1 Ga 0.000 0.000 0.500 1
Ir1 Ir 0.238 0.250 0.625 1
```

---

16.
Ta2TlS5: optimized geometry, PBE.

Values from the calculation:
raw formation energy = -687 meV/atom

Cell and atoms, written as CIF:
```
data_Ta2TlS5
_cell_length_a 3.715
_cell_length_b 6.556
_cell_length_c 13.240
_cell_angle_alpha 90.00
_cell_angle_beta 90.00
_cell_angle_gamma 90.00
_symmetry_space_group_name_H-M 'I m m m'
_symmetry_Int_Tables_number 71
_symmetry_space_group_name_Hall '-I 2 2'
loop_
_atom_site_label
_atom_site_type_symbol
_atom_site_fract_x
_atom_site_fract_y
_atom_site_fract_z
_atom_site_occupancy
Ta1 Ta 0.000 0.000 0.185 1
Tl1 Tl 0.000 0.500 0.000 1
S1 S 0.000 0.000 0.000 1
S2 S 0.000 0.236 0.338 1
```

---

17.
IrRh2: optimized geometry, PBE.

Values from the calculation:
distance to the lowest polymorph of the same formula = 0.13 eV per formula unit
ΔE_f = 0.029 eV per atom

Cell and atoms, written as CIF:
```
data_IrRh2
_cell_length_a 10.030
_cell_length_b 2.741
_cell_length_c 6.476
_cell_angle_alpha 90.00
_cell_angle_beta 104.79
_cell_angle_gamma 90.00
_symmetry_space_group_name_H-M 'C 1 2/m 1'
_symmetry_Int_Tables_number 12
loop_
_symmetry_equiv_pos_as_xyz
'x,y,z'
'-x,-y,-z'
'-x,y,-z'
'x,-y,z'
'x+1/2,y+1/2,z'
'-x+1/2,-y+1/2,-z'
'-x+1/2,y+1/2,-z'
'x+1/2,-y+1/2,z'
loop_
_atom_site_label
_atom_site_type_symbol
_atom_site_fract_x
_atom_site_fract_y
_atom_site_fract_z
_atom_site_occupancy
Ir1 Ir 0.028 0.000 0.306 1
Rh1 Rh 0.137 0.500 0.028 1
Rh2 Rh 0.192 0.500 0.638 1
```

---

18.
AcTb2Al: optimized geometry, PBE.

Values from the calculation:
distance to the lowest polymorph of the same formula = 0.91 eV per formula unit
ΔE_f = 0.076 eV per atom

Cell and atoms, written as CIF:
```
data_AcTb2Al
_cell_length_a 7.810
_cell_length_b 7.810
_cell_length_c 7.810
_cell_angle_alpha 90.00
_cell_angle_beta 90.00
_cell_angle_gamma 90.00
_symmetry_space_group_name_H-M 'F m -3 m'
_symmetry_Int_Tables_number 225
_symmetry_space_group_name_Hall '-F 4 2 3'
loop_
_atom_site_label
_atom_site_type_symbol
_atom_site_fract_x
_atom_site_fract_y
_atom_site_fract_z
_atom_site_occupancy
Ac1 Ac 0.000 0.000 0.000 1
Tb1 Tb 0.250 0.250 0.250 1
Al1 Al 0.000 0.000 0.500 1
```

---

19.
CaY2Ga6: optimized geometry, PBE.

Values from the calculation:
ΔE_f = -0.594 eV per atom

Cell and atoms, written as CIF:
```
data_CaY2Ga6
_cell_length_a 7.3340
_cell_length_b 7.3340
_cell_length_c 4.2069
_cell_angle_alpha 90.00
_cell_angle_beta 90.00
_cell_angle_gamma 120.00
_symmetry_space_group_name_H-M 'P 6/m m m'
_symmetry_Int_Tables_number 191
_symmetry_space_group_name_Hall '-P 6 2'
loop_
_atom_site_label
_atom_site_type_symbol
_atom_site_fract_x
_atom_site_fract_y
_atom_site_fract_z
_atom_site_occupancy
Ca1 Ca 0.0000 0.0000 0.0000 1
Y1 Y 0.3333 0.6667 0.0000 1
Ga1 Ga 0.0000 0.3351 0.5000 1
```

---

Calculated total energy across the listed records, respectively: -77.92; -113.51; -24.81; -135.14; -209.48; -15.21; -92.85; -76.47; -26.33; -52.97; -44.87; -51.41; -131.89; -82.90; -83.93; -104.40; -93.91; -67.23; -38.43 eV for the cell shown.